Record 1
This record from Alexandria describes an optimized crystal structure of NdGa6Pd6. The functional is PBE.

Lattice parameters (Å, degrees): 6.914 6.914 6.914 135.51 101.56 94.95
Sites, in units of the cell vectors:
Nd  0.000  0.000  0.000
Ga  0.000  0.000  0.500
Ga  0.000  0.500  0.000
Ga  0.241  0.500  0.741
Ga  0.500  0.000  0.000
Ga  0.500  0.500  0.500
Ga  0.759  0.500  0.259
Pd  0.186  0.686  0.500
Pd  0.341  0.000  0.341
Pd  0.345  0.345  0.000
Pd  0.655  0.655  0.000
Pd  0.659  0.000  0.659
Pd  0.814  0.314  0.500

Values from the calculation:
Calculated volume   16.46 Å³ per atom
SG   Immm, No. 71
Formation energy from the elements   -56.9 kJ/mol of atoms

Record 2
This record from Alexandria describes an optimized crystal structure of Ga2PdO. The functional is PBE.

Lattice parameters (Å, degrees): 6.153 6.153 6.153 90.00 90.00 90.00
Sites, in units of the cell vectors:
Ga  0.250  0.250  0.250
Ga  0.250  0.250  0.750
Ga  0.250  0.750  0.250
Ga  0.250  0.750  0.750
Ga  0.750  0.250  0.250
Ga  0.750  0.250  0.750
Ga  0.750  0.750  0.250
Ga  0.750  0.750  0.750
Pd  0.000  0.000  0.000
Pd  0.000  0.500  0.500
Pd  0.500  0.000  0.500
Pd  0.500  0.500  0.000
O  0.000  0.000  0.500
O  0.000  0.500  0.000
O  0.500  0.000  0.000
O  0.500  0.500  0.500

Values from the calculation:
Calculated volume   14.56 Å³ per atom
ΔE_f (raw)   -0.085 eV/atom
SG   Fm-3m, No. 225

Record 3
This record from Alexandria describes an optimized crystal structure of Ca8Pd2Rh3. The functional is PBE.

Lattice parameters (Å, degrees): 8.555 8.555 4.944 90.00 90.00 109.95
Sites, in units of the cell vectors:
Ca  0.120  0.880  0.000
Ca  0.129  0.368  0.500
Ca  0.368  0.129  0.500
Ca  0.380  0.620  0.000
Ca  0.620  0.380  0.000
Ca  0.632  0.871  0.500
Ca  0.871  0.632  0.500
Ca  0.880  0.120  0.000
Pd  0.248  0.752  0.500
Pd  0.752  0.248  0.500
Rh  0.000  0.000  0.500
Rh  0.246  0.246  0.000
Rh  0.754  0.754  0.000

Values from the calculation:
Calculated volume   26.16 Å³ per atom
SG   Cmmm, No. 65
Formation energy from the elements   -39.0 kJ/mol of atoms

Record 4
This record from Alexandria describes an optimized crystal structure of K2CaUTe4. The functional is PBE.

Lattice parameters (Å, degrees): 7.912 4.590 8.584 90.00 107.75 90.00
Sites, in units of the cell vectors:
K  0.000  0.000  0.000
K  0.500  0.500  0.000
Ca  0.000  0.500  0.500
U  0.500  0.000  0.500
Te  0.250  0.000  0.709
Te  0.274  0.500  0.292
Te  0.726  0.500  0.708
Te  0.750  0.000  0.291

Values from the calculation:
Calculated volume   37.11 Å³ per atom
ΔE_f (raw)   -1.115 eV/atom
SG   P2/m, No. 10

Record 5
This record from Alexandria describes an optimized crystal structure of BaPaRu2O8. The functional is PBE.

Lattice parameters (Å, degrees): 5.855 5.855 7.594 90.00 90.00 120.00
Sites, in units of the cell vectors:
Ba  0.000  0.000  0.000
Pa  0.000  0.000  0.500
Ru  0.333  0.667  0.786
Ru  0.667  0.333  0.214
O  0.164  0.327  0.685
O  0.164  0.836  0.685
O  0.327  0.164  0.315
O  0.333  0.667  0.019
O  0.667  0.333  0.981
O  0.673  0.836  0.685
O  0.836  0.164  0.315
O  0.836  0.673  0.315

Values from the calculation:
Calculated volume   18.79 Å³ per atom
ΔE_f (raw)   -1.798 eV/atom
SG   P-3m1, No. 164

Record 6
This record from Alexandria describes an optimized crystal structure of Pm2Y3Ho6. The functional is PBE.

Lattice parameters (Å, degrees): 6.121 6.121 11.678 95.06 95.06 120.09
Sites, in units of the cell vectors:
Pm  0.167  0.833  0.000
Pm  0.833  0.167  0.000
Y  0.000  0.000  0.500
Y  0.335  0.665  0.500
Y  0.665  0.335  0.500
Ho  0.083  0.416  0.749
Ho  0.250  0.250  0.251
Ho  0.416  0.083  0.749
Ho  0.584  0.917  0.251
Ho  0.750  0.750  0.749
Ho  0.917  0.584  0.251

Values from the calculation:
Calculated volume   33.88 Å³ per atom
SG   C2/m, No. 12
Formation energy from the elements   18.4 kJ/mol of atoms

Record 7
This record from Alexandria describes an optimized crystal structure of HgB. The functional is PBE.

Lattice parameters (Å, degrees): 3.095 10.945 6.705 90.00 90.00 90.00
Sites, in units of the cell vectors:
Hg  0.000  0.000  0.000
Hg  0.000  0.233  0.307
Hg  0.000  0.767  0.307
Hg  0.500  0.267  0.807
Hg  0.500  0.500  0.500
Hg  0.500  0.733  0.807
B  0.000  0.354  0.036
B  0.000  0.500  0.038
B  0.000  0.646  0.036
B  0.500  0.000  0.538
B  0.500  0.146  0.536
B  0.500  0.854  0.536

Values from the calculation:
Calculated volume   18.93 Å³ per atom
SG   Imm2, No. 44
Formation energy from the elements   78.4 kJ/mol of atoms

Record 8
This record from Alexandria describes an optimized crystal structure of RbI3N. The functional is PBE.

Lattice parameters (Å, degrees): 7.207 7.207 7.207 90.00 90.00 90.00
Sites, in units of the cell vectors:
Rb  0.000  0.000  0.000
I  0.000  0.000  0.500
I  0.000  0.500  0.000
I  0.500  0.000  0.000
N  0.500  0.500  0.500

Values from the calculation:
Calculated volume   74.87 Å³ per atom
ΔE_f (raw)   0.905 eV/atom
SG   Pm-3m, No. 221

Record 9
This record from Alexandria describes an optimized crystal structure of Y2Tm5Th4. The functional is PBE.

Lattice parameters (Å, degrees): 8.956 8.956 6.552 99.18 99.18 43.34
Sites, in units of the cell vectors:
Y  0.196  0.196  0.323
Y  0.804  0.804  0.677
Tm  0.000  0.000  0.500
Tm  0.174  0.655  0.097
Tm  0.345  0.826  0.903
Tm  0.655  0.174  0.097
Tm  0.826  0.345  0.903
Th  0.249  0.249  0.841
Th  0.407  0.407  0.593
Th  0.593  0.593  0.407
Th  0.751  0.751  0.159

Values from the calculation:
Calculated volume   32.30 Å³ per atom
SG   C2/m, No. 12
Formation energy from the elements   18.4 kJ/mol of atoms

Record 10
This record from Alexandria describes an optimized crystal structure of BaLa2IO8. The functional is PBE.

Lattice parameters (Å, degrees): 4.696 5.429 7.358 89.91 72.05 89.82
Sites, in units of the cell vectors:
Ba  0.000  0.000  0.000
La  0.376  0.499  0.284
La  0.624  0.501  0.716
I  0.000  0.000  0.500
O  0.165  0.256  0.612
O  0.168  0.744  0.612
O  0.243  0.500  0.003
O  0.334  0.000  0.268
O  0.666  0.000  0.732
O  0.757  0.500  0.997
O  0.832  0.256  0.388
O  0.835  0.744  0.388

Values from the calculation:
Calculated volume   14.87 Å³ per atom
ΔE_f (raw)   -2.052 eV/atom
SG   P-1, No. 2

Record 11
This record from Alexandria describes an optimized crystal structure of GaCu2PbO6. The functional is PBE.

Lattice parameters (Å, degrees): 5.565 5.565 5.565 56.15 56.15 56.15
Sites, in units of the cell vectors:
Ga  0.000  0.000  0.000
Cu  0.298  0.298  0.298
Cu  0.792  0.792  0.792
Pb  0.507  0.507  0.507
O  0.074  0.393  0.697
O  0.159  0.935  0.588
O  0.393  0.697  0.074
O  0.588  0.159  0.935
O  0.697  0.074  0.393
O  0.935  0.588  0.159

Values from the calculation:
Calculated volume   11.10 Å³ per atom
ΔE_f (raw)   -0.864 eV/atom
SG   R3, No. 146

Record 12
This record from Alexandria describes an optimized crystal structure of Ac3Y6Er. The functional is PBE.

Lattice parameters (Å, degrees): 7.194 7.194 7.194 88.97 88.97 88.97
Sites, in units of the cell vectors:
Ac  0.000  0.000  0.000
Ac  0.257  0.257  0.257
Ac  0.743  0.743  0.743
Y  0.101  0.422  0.749
Y  0.251  0.899  0.578
Y  0.422  0.749  0.101
Y  0.578  0.251  0.899
Y  0.749  0.101  0.422
Y  0.899  0.578  0.251
Er  0.500  0.500  0.500

Values from the calculation:
Calculated volume   37.22 Å³ per atom
SG   R-3, No. 148
Formation energy from the elements   38.1 kJ/mol of atoms